# CaCuAg2F

A relaxed structure of CaCuAg2F (PBE, Alexandria via LeMat-Bulk).

extended XYZ file:
```
5
Lattice="5.206 0.000 0.000 0.000 5.206 0.000 0.000 0.000 3.859" Properties=species:S:1:pos:R:3 pbc="T T T"
Ca 0.000 0.000 0.000
Cu 2.603 2.603 0.000
Ag 0.000 2.603 1.930
Ag 2.603 0.000 1.930
F 2.603 2.603 1.930
```

Values from the calculation:
* ΔE_f (raw): -108.4 kJ/mol of formula units
* theoretical density: 5.37 g/cm³
* space group: No. 123
* total magnetic moment: 0.000 μB per formula unit